An optimized crystal structure of Nb3RhSe6, computed with PBE.

```
Nb3RhSe6
1.0
-5.686 1.714 1.225
3.046 -3.445 3.952
4.382 10.443 5.727
Se Nb Rh
12 6 2
Direct
0.007 0.674 0.632
0.993 0.326 0.132
0.326 0.993 0.868
0.334 0.326 0.368
0.666 0.674 0.868
0.674 0.666 0.132
0.666 0.993 0.632
0.334 0.007 0.132
0.674 0.007 0.368
0.007 0.334 0.868
0.993 0.666 0.368
0.326 0.334 0.632
0.667 0.333 0.501
0.333 0.667 0.499
0.333 0.667 0.001
0.000 0.000 0.000
0.000 0.000 0.500
0.667 0.333 0.999
0.333 0.667 0.250
0.667 0.333 0.750
```

Computed properties:
Uncorrected energy ... -132.81 eV for the cell shown
Energy above the lowest structure with this stoichiometry ... 0.0 meV per atom
Crystal system ... hexagonal
E_form (uncorrected) ... -0.794 eV/atom

An optimized crystal structure of Na3InF, computed with PBE.

```
Na3InF
1.0
4.832 0.000 0.000
0.000 4.832 0.000
0.000 0.000 4.832
In F Na
1 1 3
Direct
0.500 0.500 0.500
0.000 0.000 0.000
0.500 0.000 0.000
0.000 0.000 0.500
0.000 0.500 0.000
```

Computed properties:
Uncorrected energy ... -13.72 eV for the cell shown
Energy above the lowest structure with this stoichiometry ... 0.0 meV per atom
Crystal system ... cubic
E_form (uncorrected) ... -1.030 eV/atom

An optimized crystal structure of TlOs2Br, computed with PBE.

```
TlOs2Br
1.0
4.582 -0.004 0.000
-1.124 4.442 0.000
-1.729 -2.219 3.617
Os Tl Br
2 1 1
Direct
0.000 0.000 0.000
0.250 0.750 0.500
0.500 0.500 0.000
0.750 0.250 0.500
```

Computed properties:
Uncorrected energy ... -20.44 eV for the cell shown
Energy above the lowest structure with this stoichiometry ... 974.3 meV per atom
Crystal system ... tetragonal
E_form (uncorrected) ... 1.515 eV/atom

An optimized crystal structure of MnNiGe, computed with PBE.

```
MnNiGe
1.0
3.442 2.198 -0.772
-3.550 0.944 -1.946
-1.277 3.397 3.977
Mn Ni Ge
2 2 2
Direct
0.667 0.333 0.750
0.333 0.667 0.250
0.333 0.667 0.750
0.667 0.333 0.250
0.000 0.000 0.500
0.000 0.000 0.000
```

Computed properties:
Uncorrected energy ... -38.72 eV for the cell shown
Crystal system ... hexagonal
Energy relative to the elements ... 0.069 eV per atom

An optimized crystal structure of BaAsAu2, computed with PBE.

```
BaAsAu2
1.0
4.726 0.000 0.000
0.000 4.732 0.000
0.000 0.000 4.551
Au Ba As
2 1 1
Direct
0.000 0.000 0.000
0.500 0.500 0.000
0.500 0.000 0.500
0.000 0.500 0.500
```

Computed properties:
Uncorrected energy ... -14.03 eV for the cell shown
Crystal system ... tetragonal
Energy relative to the elements ... -0.227 eV per atom

An optimized crystal structure of B2C, computed with PBE.

```
B2C
1.0
1.345 -2.330 0.000
1.345 2.330 0.000
0.000 0.000 13.592
B C
8 4
Direct
0.667 0.333 0.550
0.667 0.333 0.157
0.667 0.333 0.682
0.000 0.000 0.354
0.333 0.667 0.486
0.000 0.000 0.219
0.333 0.667 0.885
0.000 0.000 0.813
0.333 0.667 0.001
0.667 0.333 0.039
0.333 0.667 0.369
0.000 0.000 0.697
```

Computed properties:
Uncorrected energy ... -83.43 eV for the cell shown
Energy above the lowest structure with this stoichiometry ... 388.3 meV per atom
Crystal system ... trigonal
Energy relative to the elements ... 0.574 eV per atom

An optimized crystal structure of CeYTh, computed with PBE.

```
CeYTh
1.0
3.500 0.000 0.000
0.000 5.589 0.000
0.000 -2.794 4.840
Y Ce Th
1 1 1
Direct
0.667 0.667 0.333
0.167 0.333 0.667
0.167 0.000 0.000
```

Computed properties:
Uncorrected energy ... -19.50 eV for the cell shown
Energy above the lowest structure with this stoichiometry ... 45.0 meV per atom
Crystal system ... hexagonal
Energy relative to the elements ... 0.106 eV per atom

An optimized crystal structure of Co2Se2N, computed with PBE.

```
Co2Se2N
1.0
-1.606 1.209 -3.032
-1.988 -3.043 -0.160
-6.330 1.860 1.913
Se N Co
2 1 2
Direct
0.638 0.638 0.724
0.362 0.362 0.276
0.000 0.000 0.000
0.750 0.250 0.500
0.250 0.750 0.500
```

Computed properties:
Uncorrected energy ... -25.66 eV for the cell shown
Energy above the lowest structure with this stoichiometry ... 0.0 meV per atom
Crystal system ... tetragonal
E_form (uncorrected) ... 0.770 eV/atom